1.
A plane-wave DFT calculation with PBE was carried out for AcZnPBr after structural relaxation.

## Properties
**Theoretical density**: 5.725 g/cm³
**ΔE_f (raw)**: -24.74 kcal/mol of atoms

Cell lengths 4.420, 4.420, 14.064 Å; angles 80.96, 80.96, 60.00 degrees
Sites, in units of the cell vectors:
Ac 0.077 0.077 0.768
Ac 0.923 0.923 0.232
Zn 0.690 0.690 0.931
Zn 0.310 0.310 0.069
P 0.632 0.632 0.105
P 0.368 0.368 0.895
Br 0.790 0.790 0.630
Br 0.210 0.210 0.370

=====

2.
A plane-wave DFT calculation with PBE was carried out for AcPaBr2 after structural relaxation.

## Properties
**Theoretical density**: 7.993 g/cm³
**ΔE_f (raw)**: -15.68 kcal/mol of atoms

Cell lengths 3.713, 3.713, 10.963 Å; angles 80.25, 80.25, 60.00 degrees
Site moments in Bohr magnetons follow the coordinates.
Sites, in units of the cell vectors:
Ac 0.500 0.500 0.500  -0.01
Pa 0.000 0.000 0.000  1.86
Br 0.092 0.092 0.723  0.00
Br 0.908 0.908 0.277  0.00

=====

3.
A plane-wave DFT calculation with PBE was carried out for AcPaBr after structural relaxation.

## Properties
**Theoretical density**: 9.407 g/cm³
**ΔE_f (raw)**: -11.50 kcal/mol of atoms

Cell lengths 7.169, 3.919, 25.967 Å; angles 138.99, 153.69, 56.85 degrees
Sites, in units of the cell vectors:
Pa 0.768 0.518 0.607
Pa 0.232 0.482 0.393
Ac 0.469 0.219 0.287
Ac 0.531 0.781 0.713
Br 0.527 0.777 0.911
Br 0.473 0.223 0.089

=====

4.
A plane-wave DFT calculation with PBE was carried out for Ac3Pb2Br after structural relaxation.

## Properties
**Theoretical density**: 8.291 g/cm³
**ΔE_f (raw)**: -19.29 kcal/mol of atoms

Cell lengths 6.735, 8.324, 9.687 Å; angles 106.93, 90.00, 113.86 degrees
Sites, in units of the cell vectors:
Ac 0.500 0.000 0.750
Ac 0.500 0.000 0.250
Ac 0.825 0.651 0.913
Ac 0.175 0.349 0.587
Ac 0.825 0.651 0.413
Ac 0.175 0.349 0.087
Pb 0.338 0.675 0.419
Pb 0.338 0.675 0.919
Pb 0.662 0.325 0.081
Pb 0.662 0.325 0.581
Br 0.000 0.000 0.250
Br 0.000 0.000 0.750